A plane-wave DFT calculation with GGA-PBE was carried out for a relaxed structure of Tb2NdSc2.

M_tot = 0.00 μB/f.u.
DFT formation energy = 0.128 eV/atom
V = 30.1 Å³/atom
D(E_F) = 1.7187 states/eV per atom
theoretical density = 6.090 g/cm3
distance to the lowest polymorph of the same formula = 0.000 eV/atom

Cell: 5.4845 6.8007 16.1404 Å, 90.00 90.00 90.00°
Last column: nearest neighbours and their distance in Å.
Space group Imma (No. 74)
Inequivalent atoms, fractional coordinates:
Tb: 0.0000 0.2500 0.0011 x4  2 Nd 3.40, 4 Tb 3.40-3.41, 4 Sc 3.53-3.54
Tb: 0.0000 0.2500 0.6246 x4  6 Sc 3.39-3.40, 2 Nd 3.40, 2 Tb 3.41
Nd: 0.0000 0.2500 0.3749 x4  4 Tb 3.40, 6 Sc 3.42
Sc: 0.0000 0.0041 0.8081 x8  4 Sc 3.32-3.46, 5 Tb 3.39-3.54, 3 Nd 3.42


A plane-wave DFT calculation with GGA-PBE was carried out for a relaxed structure of BeSbPt2.

M_tot = 0.00 μB/f.u.
uncorrected formation energy = -407 meV per atom
V = 16.6 Å³/atom
D(E_F) = 0.3395 states/eV per atom
theoretical density = 13.022 g/cm3
distance to the lowest polymorph of the same formula = 0.000 eV/atom

Cell: 6.7178 3.9005 5.5291 Å, 90.00 113.50 90.00°
Last column: nearest neighbours and their distance in Å.
Space group Cm (No. 8)
Inequivalent atoms, fractional coordinates:
Be: 0.0000 0.0000 0.0000 x2  6 Pt 2.36-2.46
Sb: 0.1747 0.0000 0.5268 x2  1 Be 2.67, 6 Pt 2.79-2.81
Pt: 0.1188 0.5000 0.8561 x2  3 Be 2.36
Pt: 0.3990 0.0000 0.1981 x2  3 Be 2.46


A plane-wave DFT calculation with GGA-PBE was carried out for a relaxed structure of KLi4Al.

M_tot = 0.00 μB/f.u.
DFT formation energy = 0.154 eV/atom
V = 23.2 Å³/atom
D(E_F) = 0.7147 states/eV per atom
theoretical density = 1.118 g/cm3

Cell: 8.2315 8.2315 8.2315 Å, 90.00 90.00 90.00°
Last column: nearest neighbours and their distance in Å.
Space group F-43m (No. 216)
Inequivalent atoms, fractional coordinates:
K: 0.0000 0.0000 0.0000 x4  12 Li 3.42, 4 Al 3.56
Li: 0.1208 0.1208 0.6208 x16  6 Li 2.81-3.01
Al: 0.2500 0.2500 0.2500 x4  12 Li 3.40, 4 K 3.56


A plane-wave DFT calculation with GGA-PBE was carried out for a relaxed structure of InGeBi2.

M_tot = 0.00 μB/f.u.
DFT formation energy = 0.150 eV/atom
V = 28.0 Å³/atom
D(E_F) = 0.3278 states/eV per atom
theoretical density = 8.989 g/cm3

Cell: 3.7487 3.7487 7.9588 Å, 90.00 90.00 90.00°
Last column: nearest neighbours and their distance in Å.
Space group P4/mmm (No. 123)
Inequivalent atoms, fractional coordinates:
In: 0.0000 0.0000 0.0000 x1  8 Bi 3.47, 4 In 3.75
Ge: 0.0000 0.0000 0.5000 x1  8 Bi 3.17
Bi: 0.5000 0.5000 0.2817 x2  4 Ge 3.17, 4 In 3.47, 1 Bi 3.47


A plane-wave DFT calculation with GGA-PBE was carried out for a relaxed structure of Ho8Tl4S3N.

M_tot = 0.00 μB/f.u.
uncorrected formation energy = -1111 meV per atom
V = 24.0 Å³/atom
D(E_F) = 0.5082 states/eV per atom
theoretical density = 9.705 g/cm3

Cell: 13.0580 7.5474 8.9322 Å, 90.00 119.12 90.00°
Last column: nearest neighbours and their distance in Å.
Space group C2/m (No. 12)
Inequivalent atoms, fractional coordinates:
Ho: 0.0148 0.2301 0.3141 x8  1 N 2.47, 2 S 2.69
Ho: 0.2157 0.0000 0.6862 x4  1 N 2.48, 2 S 2.69
Ho: 0.2338 0.5000 0.7016 x4  3 S 2.69
Tl: 0.0000 0.0000 0.0000 x2  6 Ho 3.19-3.22
Tl: 0.0000 0.5000 0.0000 x2  6 Ho 3.39-3.40, 6 Tl 3.77
Tl: 0.2500 0.2500 0.0000 x4  6 Ho 3.19-3.23
S: 0.0000 0.5000 0.5000 x2  6 Ho 2.69
S: 0.2500 0.2500 0.5000 x4  6 Ho 2.69
N: 0.0000 0.0000 0.5000 x2  6 Ho 2.47-2.48


A plane-wave DFT calculation with GGA-PBE was carried out for a relaxed structure of LiGaS2.

M_tot = 0.00 μB/f.u.
uncorrected formation energy = -982 meV per atom
V = 20.6 Å³/atom
D(E_F) = 0.0000 states/eV per atom
theoretical density = 2.843 g/cm3

Cell: 3.7772 6.6233 6.9327 Å, 98.07 90.02 106.55°
Last column: nearest neighbours and their distance in Å.
Space group P1 (No. 1)
Inequivalent atoms, fractional coordinates:
Li: 0.0000 0.0000 0.0000 x1  4 S 2.35-2.58
Li: 0.2477 0.4990 0.7679 x1  4 S 2.36-2.49
Ga: 0.4913 0.9851 0.5320 x1  4 S 2.19-2.40
Ga: 0.7411 0.4853 0.2818 x1  4 S 2.28-2.37
S: 0.1927 0.3885 0.0974 x1  2 Ga 2.31, 2 Li 2.46-2.49
S: 0.4369 0.8740 0.8168 x1  1 Ga 2.19, 3 Li 2.35-2.36
S: 0.6739 0.3514 0.5695 x1  2 Ga 2.28-2.30, 2 Li 2.44
S: 0.9302 0.8629 0.3327 x1  3 Ga 2.37-2.40, 1 Li 2.58